VASP calculation (PBE) on crystalline Ba3Pt5 at its relaxed geometry.

The structure belongs to space group Cmmm (No. 65); the cell edges are 8.4214, 9.6427 and 4.7736 Å and the angles 90.00°, 90.00° and 90.00°. Symmetry generates all atoms from Ba at (0.0000, 0.0000, 0.0000), Ba at (0.0000, 0.2677, 0.5000), Pt at (0.0000, 0.5000, 0.0000), Pt at (0.2375, 0.5000, 0.5000) and Pt at (0.2500, 0.2500, 0.0000).

The value obtained for the density is 11.886 g cm⁻³. As for the total magnetization: 0.00 μB per cell. The value obtained for the energy relative to the lowest polymorph listed for this composition is 0.390 eV per atom. The uncorrected energy comes out at -37.78 eV per formula unit.

---

VASP calculation (PBE) on crystalline BaPt4 at its relaxed geometry.

The structure belongs to space group I4/mmm (No. 139); the cell edges are 6.5251, 6.5251 and 4.8588 Å and the angles 90.00°, 90.00° and 90.00°. Symmetry generates all atoms from Ba at (0.0000, 0.0000, 0.0000) and Pt at (0.0000, 0.3031, 0.5000).

The value obtained for the density is 14.732 g cm⁻³. As for the total magnetization: 0.00 μB per cell. The value obtained for the energy relative to the lowest polymorph listed for this composition is 0.210 eV per atom. The uncorrected energy comes out at -26.29 eV per formula unit.

---

VASP calculation (PBE) on crystalline Ba4Pt3 at its relaxed geometry.

The structure belongs to space group I4/mmm (No. 139); the cell edges are 4.3991, 4.3991 and 26.5779 Å and the angles 90.00°, 90.00° and 90.00°. Symmetry generates all atoms from Ba at (0.0000, 0.0000, 0.0661), Ba at (0.0000, 0.0000, 0.3060), Pt at (0.0000, 0.0000, 0.1816) and Pt at (0.0000, 0.0000, 0.5000).

The value obtained for the density is 7.326 g cm⁻³. As for the total magnetization: 0.00 μB per cell. The value obtained for the energy relative to the lowest polymorph listed for this composition is 0.000 eV per atom. The uncorrected energy comes out at -29.87 eV per formula unit.

---

VASP calculation (PBE) on crystalline BaPt2 at its relaxed geometry.

The structure belongs to space group Cmcm (No. 63); the cell edges are 10.9787, 5.5385 and 4.7471 Å and the angles 90.00°, 90.00° and 90.00°. Symmetry generates all atoms from Ba at (0.0000, 0.2473, 0.2500) and Pt at (0.2282, 0.3753, 0.7500).

The value obtained for the density is 12.138 g cm⁻³. As for the total magnetization: 0.00 μB per cell. The uncorrected energy comes out at -15.71 eV per formula unit.

---

VASP calculation (PBE) on crystalline BaPt5 at its relaxed geometry.

The structure belongs to space group Cmmm (No. 65); the cell edges are 4.5927, 13.6428 and 3.6987 Å and the angles 90.00°, 90.00° and 90.00°. Symmetry generates all atoms from Ba at (0.0000, 0.0000, 0.0000), Pt at (0.0000, 0.1957, 0.5000), Pt at (0.0000, 0.3399, 0.0000) and Pt at (0.0000, 0.5000, 0.5000).

The value obtained for the density is 15.946 g cm⁻³. As for the total magnetization: 0.00 μB per cell. The value obtained for the energy relative to the lowest polymorph listed for this composition is 0.523 eV per atom. The uncorrected energy comes out at -31.96 eV per formula unit.

---

VASP calculation (PBE) on crystalline BaPt3 at its relaxed geometry.

The structure belongs to space group Cmcm (No. 63); the cell edges are 8.8216, 11.5591 and 3.8192 Å and the angles 90.00°, 90.00° and 90.00°. Symmetry generates all atoms from Ba at (0.0000, 0.1356, 0.2500), Pt at (0.0000, 0.4211, 0.2500) and Pt at (0.1643, 0.3086, 0.7500).

The value obtained for the density is 12.324 g cm⁻³. As for the total magnetization: 0.00 μB per cell. The uncorrected energy comes out at -20.40 eV per formula unit.